# CsHgH

Crystalline CsHgH at its relaxed geometry (PBE, Alexandria).

```
3
Lattice="0.000 3.733 3.733 3.733 0.000 3.733 3.733 3.733 0.000" Properties=species:S:1:pos:R:3 pbc="T T T"
Cs 0.000 0.000 0.000
Hg 3.733 3.733 3.733
H 5.599 5.599 5.599
```

* distance to the lowest polymorph of the same formula: 0.102 eV/atom
* SG: F-43m (216)
* total magnetic moment: 0.00 μB/f.u.